Material: AgPd2
Method: DFT, PBE
State: optimized geometry

Cell lengths 5.259, 5.259, 5.259 Å; angles 60.00, 60.00, 60.00 degrees
Fractional coordinates of all 6 atoms:
1 Ag 0.125 0.125 0.125
2 Ag 0.875 0.875 0.875
3 Pd 0.000 0.500 0.500
4 Pd 0.500 0.000 0.500
5 Pd 0.500 0.500 0.000
6 Pd 0.500 0.500 0.500

Computed properties:
Mass density = 10.35 Mg/m³
Spin magnetization = 0.000 μB per atom
ΔH_f (0 K) = 0.250 eV per formula unit
Energy above the lowest structure with this stoichiometry = 0.098 eV/atom
Density of states at the Fermi level = 0.86 states/eV per atom